# 1
Computed, not measured: a geometry-optimized TiSn2TeMo structure at the PBE level of DFT.

The structure in CIF format:
```
data_TiSn2TeMo
_cell_length_a 5.351
_cell_length_b 5.351
_cell_length_c 4.567
_cell_angle_alpha 90.00
_cell_angle_beta 90.00
_cell_angle_gamma 90.00
_symmetry_space_group_name_H-M 'P 4/m m m'
_symmetry_Int_Tables_number 123
_symmetry_space_group_name_Hall '-P 4 2'
loop_
_atom_site_label
_atom_site_type_symbol
_atom_site_fract_x
_atom_site_fract_y
_atom_site_fract_z
_atom_site_occupancy
Ti1 Ti 0.000 0.000 0.000 1
Sn1 Sn 0.000 0.500 0.000 1
Te1 Te 0.500 0.500 0.500 1
Mo1 Mo 0.000 0.000 0.500 1
```

## Properties
uncorrected energy	-5.2319	eV per atom
formation energy from raw total energies	743	meV per atom
calculated volume	131	Å³/cell
M_tot	0.00	μB/atom

---

# 2
Computed, not measured: a geometry-optimized SnTeMoW2 structure at the PBE level of DFT.

The structure in CIF format:
```
data_SnTeMoW2
_cell_length_a 4.906
_cell_length_b 4.906
_cell_length_c 5.111
_cell_angle_alpha 90.00
_cell_angle_beta 90.00
_cell_angle_gamma 90.00
_symmetry_space_group_name_H-M 'P 4/m m m'
_symmetry_Int_Tables_number 123
_symmetry_space_group_name_Hall '-P 4 2'
loop_
_atom_site_label
_atom_site_type_symbol
_atom_site_fract_x
_atom_site_fract_y
_atom_site_fract_z
_atom_site_occupancy
Sn1 Sn 0.000 0.000 0.000 1
Te1 Te 0.500 0.500 0.000 1
Mo1 Mo 0.500 0.500 0.500 1
W1 W 0.000 0.500 0.500 1
```

## Properties
uncorrected energy	-7.0422	eV per atom
formation energy from raw total energies	1734	meV per atom
calculated volume	123	Å³/cell
M_tot	0.55	μB/atom

---

# 3
Computed, not measured: a geometry-optimized Ti7Sn4Mo structure at the PBE level of DFT.

The structure in CIF format:
```
data_Ti7Sn4Mo
_cell_length_a 12.201
_cell_length_b 4.988
_cell_length_c 9.947
_cell_angle_alpha 90.00
_cell_angle_beta 125.99
_cell_angle_gamma 90.00
_symmetry_space_group_name_H-M 'C 1 2/m 1'
_symmetry_Int_Tables_number 12
_symmetry_space_group_name_Hall '-C 2y'
loop_
_atom_site_label
_atom_site_type_symbol
_atom_site_fract_x
_atom_site_fract_y
_atom_site_fract_z
_atom_site_occupancy
Ti1 Ti 0.000 0.000 0.000 1
Ti2 Ti 0.079 0.500 0.432 1
Ti3 Ti 0.156 0.000 0.877 1
Ti4 Ti 0.215 0.500 0.282 1
Sn1 Sn 0.123 0.000 0.352 1
Sn2 Sn 0.200 0.500 0.782 1
Mo1 Mo 0.000 0.500 0.000 1
```

## Properties
DFT formation energy	0.159	eV/atom
uncorrected energy	-6.6831	eV per atom
calculated volume	490	Å³/cell
M_tot	0.00	μB/atom

---

# 4
Computed, not measured: a geometry-optimized Ti2Sn2Mo structure at the PBE level of DFT.

The structure in CIF format:
```
data_Ti2Sn2Mo
_cell_length_a 7.151
_cell_length_b 7.151
_cell_length_c 3.711
_cell_angle_alpha 90.00
_cell_angle_beta 90.00
_cell_angle_gamma 90.00
_symmetry_space_group_name_H-M 'P 4/m b m'
_symmetry_Int_Tables_number 127
_symmetry_space_group_name_Hall '-P 4 2ab'
loop_
_atom_site_label
_atom_site_type_symbol
_atom_site_fract_x
_atom_site_fract_y
_atom_site_fract_z
_atom_site_occupancy
Ti1 Ti 0.164 0.336 0.000 1
Sn1 Sn 0.140 0.640 0.500 1
Mo1 Mo 0.000 0.000 0.500 1
```

## Properties
DFT formation energy	-0.052	eV/atom
uncorrected energy	-6.9777	eV per atom
calculated volume	190	Å³/cell
M_tot	0.00	μB/atom

---

# 5
Computed, not measured: a geometry-optimized Ti2SnMo structure at the PBE level of DFT.

The structure in CIF format:
```
data_Ti2SnMo
_cell_length_a 7.396
_cell_length_b 7.396
_cell_length_c 5.554
_cell_angle_alpha 90.00
_cell_angle_beta 90.00
_cell_angle_gamma 90.00
_symmetry_space_group_name_H-M 'I -4 2 d'
_symmetry_Int_Tables_number 122
_symmetry_space_group_name_Hall 'I -4 2bw'
loop_
_atom_site_label
_atom_site_type_symbol
_atom_site_fract_x
_atom_site_fract_y
_atom_site_fract_z
_atom_site_occupancy
Ti1 Ti 0.209 0.250 0.125 1
Sn1 Sn 0.000 0.000 0.500 1
Mo1 Mo 0.000 0.000 0.000 1
```

## Properties
DFT formation energy	0.324	eV/atom
uncorrected energy	-7.3319	eV per atom
calculated volume	304	Å³/cell
M_tot	0.00	μB/atom

---

# 6
Computed, not measured: a geometry-optimized Ti2SnMo structure at the PBE level of DFT.

The structure in CIF format:
```
data_Ti2SnMo
_cell_length_a 2.912
_cell_length_b 4.830
_cell_length_c 10.802
_cell_angle_alpha 90.00
_cell_angle_beta 90.00
_cell_angle_gamma 90.00
_symmetry_space_group_name_H-M 'I m m m'
_symmetry_Int_Tables_number 71
_symmetry_space_group_name_Hall '-I 2 2'
loop_
_atom_site_label
_atom_site_type_symbol
_atom_site_fract_x
_atom_site_fract_y
_atom_site_fract_z
_atom_site_occupancy
Ti1 Ti 0.000 0.000 0.249 1
Sn1 Sn 0.000 0.000 0.500 1
Mo1 Mo 0.000 0.000 0.000 1
```

## Properties
DFT formation energy	0.510	eV/atom
uncorrected energy	-7.1464	eV per atom
calculated volume	152	Å³/cell
M_tot	0.00	μB/atom

---

# 7
Computed, not measured: a geometry-optimized Ti3SnMo structure at the PBE level of DFT.

The structure in CIF format:
```
data_Ti3SnMo
_cell_length_a 5.331
_cell_length_b 5.344
_cell_length_c 7.182
_cell_angle_alpha 70.38
_cell_angle_beta 78.28
_cell_angle_gamma 64.97
_symmetry_space_group_name_H-M 'P -1'
_symmetry_Int_Tables_number 2
_symmetry_space_group_name_Hall '-P 1'
loop_
_atom_site_label
_atom_site_type_symbol
_atom_site_fract_x
_atom_site_fract_y
_atom_site_fract_z
_atom_site_occupancy
Ti1 Ti 0.038 0.231 0.373 1
Ti2 Ti 0.272 0.282 0.988 1
Ti3 Ti 0.429 0.238 0.587 1
Sn1 Sn 0.159 0.740 0.213 1
Mo1 Mo 0.349 0.767 0.792 1
```

## Properties
DFT formation energy	-0.184	eV/atom
uncorrected energy	-7.8880	eV per atom
calculated volume	174	Å³/cell
M_tot	0.00	μB/atom
energy relative to the lowest polymorph listed for this composition	0.0000	eV per atom

---

# 8
Computed, not measured: a geometry-optimized Ti5SnMo structure at the PBE level of DFT.

The structure in CIF format:
```
data_Ti5SnMo
_cell_length_a 4.545
_cell_length_b 4.545
_cell_length_c 6.474
_cell_angle_alpha 90.00
_cell_angle_beta 90.00
_cell_angle_gamma 90.00
_symmetry_space_group_name_H-M 'P 4/m m m'
_symmetry_Int_Tables_number 123
_symmetry_space_group_name_Hall '-P 4 2'
loop_
_atom_site_label
_atom_site_type_symbol
_atom_site_fract_x
_atom_site_fract_y
_atom_site_fract_z
_atom_site_occupancy
Ti1 Ti 0.000 0.000 0.000 1
Ti2 Ti 0.000 0.500 0.233 1
Sn1 Sn 0.000 0.000 0.500 1
Mo1 Mo 0.500 0.500 0.000 1
```

## Properties
DFT formation energy	-0.009	eV/atom
uncorrected energy	-7.7673	eV per atom
calculated volume	134	Å³/cell
M_tot	0.00	μB/atom

---

# 9
Computed, not measured: a geometry-optimized Ti4Sn2Mo structure at the PBE level of DFT.

The structure in CIF format:
```
data_Ti4Sn2Mo
_cell_length_a 4.595
_cell_length_b 4.595
_cell_length_c 14.594
_cell_angle_alpha 90.00
_cell_angle_beta 90.00
_cell_angle_gamma 90.00
_symmetry_space_group_name_H-M 'I 4/m m m'
_symmetry_Int_Tables_number 139
_symmetry_space_group_name_Hall '-I 4 2'
loop_
_atom_site_label
_atom_site_type_symbol
_atom_site_fract_x
_atom_site_fract_y
_atom_site_fract_z
_atom_site_occupancy
Ti1 Ti 0.000 0.000 0.172 1
Ti2 Ti 0.000 0.500 0.000 1
Sn1 Sn 0.000 0.000 0.363 1
Mo1 Mo 0.000 0.000 0.000 1
```

## Properties
DFT formation energy	0.392	eV/atom
uncorrected energy	-6.8104	eV per atom
calculated volume	308	Å³/cell
M_tot	0.08	μB/atom
energy relative to the lowest polymorph listed for this composition	0.3673	eV per atom

---

# 10
Computed, not measured: a geometry-optimized Ti4Sn2Mo structure at the PBE level of DFT.

The structure in CIF format:
```
data_Ti4Sn2Mo
_cell_length_a 8.231
_cell_length_b 10.570
_cell_length_c 3.125
_cell_angle_alpha 90.00
_cell_angle_beta 90.00
_cell_angle_gamma 90.00
_symmetry_space_group_name_H-M 'P b a m'
_symmetry_Int_Tables_number 55
_symmetry_space_group_name_Hall '-P 2 2ab'
loop_
_atom_site_label
_atom_site_type_symbol
_atom_site_fract_x
_atom_site_fract_y
_atom_site_fract_z
_atom_site_occupancy
Ti1 Ti 0.142 0.198 0.000 1
Ti2 Ti 0.215 0.906 0.500 1
Sn1 Sn 0.071 0.636 0.500 1
Mo1 Mo 0.000 0.000 0.000 1
```

## Properties
DFT formation energy	0.025	eV/atom
uncorrected energy	-7.1777	eV per atom
calculated volume	272	Å³/cell
M_tot	0.00	μB/atom
energy relative to the lowest polymorph listed for this composition	0.0000	eV per atom

---

# 11
Computed, not measured: a geometry-optimized Ti2SnMo structure at the PBE level of DFT.

The structure in CIF format:
```
data_Ti2SnMo
_cell_length_a 3.364
_cell_length_b 3.364
_cell_length_c 6.147
_cell_angle_alpha 90.00
_cell_angle_beta 90.00
_cell_angle_gamma 90.00
_symmetry_space_group_name_H-M 'P 4/m m m'
_symmetry_Int_Tables_number 123
_symmetry_space_group_name_Hall '-P 4 2'
loop_
_atom_site_label
_atom_site_type_symbol
_atom_site_fract_x
_atom_site_fract_y
_atom_site_fract_z
_atom_site_occupancy
Ti1 Ti 0.000 0.000 0.227 1
Sn1 Sn 0.500 0.500 0.500 1
Mo1 Mo 0.500 0.500 0.000 1
```

## Properties
DFT formation energy	-0.320	eV/atom
uncorrected energy	-7.9761	eV per atom
calculated volume	70	Å³/cell
M_tot	0.00	μB/atom

---

# 12
Computed, not measured: a geometry-optimized Ti12Sn6Mo structure at the PBE level of DFT.

The structure in CIF format:
```
data_Ti12Sn6Mo
_cell_length_a 10.1801
_cell_length_b 10.1801
_cell_length_c 11.8765
_cell_angle_alpha 90.00
_cell_angle_beta 90.00
_cell_angle_gamma 120.00
_symmetry_space_group_name_H-M 'R -3'
_symmetry_Int_Tables_number 148
_symmetry_space_group_name_Hall '-R 3'
loop_
_atom_site_label
_atom_site_type_symbol
_atom_site_fract_x
_atom_site_fract_y
_atom_site_fract_z
_atom_site_occupancy
Ti1 Ti 0.0461 0.1787 0.3112 1
Ti2 Ti 0.0607 0.8593 0.9094 1
Sn1 Sn 0.0225 0.4292 0.2134 1
Mo1 Mo 0.0000 0.0000 0.5000 1
```

## Properties
DFT formation energy	-0.155	eV/atom
uncorrected energy	-6.9753	eV per atom
calculated volume	1066	Å³/cell
M_tot	0.00	μB/atom

---

Question: Which of these has the lowest uncorrected energy?
Answer: number 11